Entry 1:
Computed, not measured: an optimized crystal structure of Sc4SbS3 at the PBE level of DFT.

Geometry as extended XYZ:
```
16
Lattice="3.7621 0.0000 0.0000 -1.8810 3.2581 0.0000 0.0000 0.0000 25.3689" Properties=species:S:1:pos:R:3 pbc="T T T"
Sc 0.0000 0.0000 4.3982
Sc 0.0000 0.0000 8.2862
Sc 0.0000 0.0000 17.0827
Sc 0.0000 0.0000 20.9707
Sc 0.0000 2.1720 1.5229
Sc 0.0000 2.1720 11.1615
Sc 1.8810 1.0860 14.2074
Sc 1.8810 1.0860 23.8460
Sb 0.0000 2.1720 6.3422
Sb 1.8810 1.0860 19.0267
S 0.0000 0.0000 0.0000
S 0.0000 0.0000 12.6844
S 0.0000 2.1720 15.6553
S 0.0000 2.1720 22.3981
S 1.8810 1.0860 2.9708
S 1.8810 1.0860 9.7136
```

Computed properties:
E_form (uncorrected) = -1.627 eV per atom

Entry 2:
Computed, not measured: an optimized crystal structure of PWSe2 at the PBE level of DFT.

Geometry as extended XYZ:
```
12
Lattice="3.1972 0.0000 0.0000 -1.5986 2.7689 0.0000 0.0000 0.0000 25.1339" Properties=species:S:1:pos:R:3 pbc="T T T"
P 0.0000 0.0000 0.0000
P 0.0000 1.8459 16.7560
P 1.5986 0.9230 8.3780
W 0.0000 0.0000 12.5670
W 0.0000 1.8459 4.1890
W 1.5986 0.9230 20.9449
Se 0.0000 0.0000 5.9836
Se 0.0000 0.0000 19.1503
Se 0.0000 1.8459 10.7723
Se 0.0000 1.8459 22.7396
Se 1.5986 0.9230 2.3944
Se 1.5986 0.9230 14.3616
```

Computed properties:
E_form (uncorrected) = 0.284 eV per atom

Entry 3:
Computed, not measured: an optimized crystal structure of HfThCd at the PBE level of DFT.

Geometry as extended XYZ:
```
3
Lattice="5.2011 0.0000 0.0000 -2.6006 4.5043 0.0000 0.0000 0.0000 3.3467" Properties=species:S:1:pos:R:3 pbc="T T T"
Hf 0.0000 0.0000 0.0000
Th 2.6006 1.5014 1.6754
Cd 0.0000 3.0029 0.0073
```

Computed properties:
offset from the most stable computed form = 45 kJ/mol of formula units
ΔE_f = 177 meV per atom

Entry 4:
Computed, not measured: an optimized crystal structure of Ca8AgN4 at the PBE level of DFT.

Geometry as extended XYZ:
```
13
Lattice="8.8408 -1.8140 0.0000 8.8408 1.8140 0.0000 -8.8124 0.0000 8.8479" Properties=species:S:1:pos:R:3 pbc="T T T"
Ca -1.0779 0.0000 1.8486
Ca 1.3671 0.0000 4.0371
Ca -1.8020 0.0000 7.7820
Ca 4.7962 0.0000 1.3575
Ca 4.0729 0.0000 7.4904
Ca 10.6711 0.0000 1.0659
Ca 7.5021 0.0000 4.8108
Ca 9.9470 0.0000 6.9993
Ag -4.4062 0.0000 4.4240
N -5.9602 0.0000 8.7078
N -0.1100 0.0000 5.9929
N 8.9792 0.0000 2.8550
N 14.8293 0.0000 0.1401
```

Computed properties:
E_form (uncorrected) = -0.658 eV per atom
offset from the most stable computed form = 0 kJ/mol of formula units

Entry 5:
Computed, not measured: an optimized crystal structure of Li2Si2Au5 at the PBE level of DFT.

Geometry as extended XYZ:
```
9
Lattice="4.8344 0.0000 0.0000 2.2800 5.6067 0.0000 0.9320 2.3715 5.9269" Properties=species:S:1:pos:R:3 pbc="T T T"
Li 2.3338 3.0546 0.7834
Li 5.7127 4.9236 5.1435
Si 2.7492 2.7697 4.9110
Si 5.2973 5.2085 1.0158
Au 2.8275 6.0099 1.2987
Au 3.3036 4.8586 3.9251
Au 2.8832 1.1858 2.9634
Au 4.7428 3.1196 2.0018
Au 5.2189 1.9684 4.6281
```

Computed properties:
E_form (uncorrected) = -0.259 eV per atom

Entry 6:
Computed, not measured: an optimized crystal structure of Mg2ZnInOs at the PBE level of DFT.

Geometry as extended XYZ:
```
5
Lattice="5.0795 0.0000 0.0000 0.0000 5.0795 0.0000 0.0000 0.0000 5.0176" Properties=species:S:1:pos:R:3 pbc="T T T"
Mg 0.0000 2.5397 0.0000
Mg 2.5397 0.0000 0.0000
Zn 0.0000 0.0000 2.5088
In 2.5397 2.5397 0.0000
Os 2.5397 2.5397 2.5088
```

Computed properties:
ΔE_f = 1260 meV per atom

Entry 7:
Computed, not measured: an optimized crystal structure of Na3MgAu at the PBE level of DFT.

Geometry as extended XYZ:
```
5
Lattice="5.5812 0.0000 0.0000 0.0000 5.5812 0.0000 0.0000 0.0000 5.5812" Properties=species:S:1:pos:R:3 pbc="T T T"
Na 0.0000 0.0000 2.7906
Na 0.0000 2.7906 0.0000
Na 2.7906 0.0000 0.0000
Mg 2.7906 2.7906 2.7906
Au 0.0000 0.0000 0.0000
```

Computed properties:
offset from the most stable computed form = 0 kJ/mol of formula units
ΔE_f = 70 meV per atom

Entry 8:
Computed, not measured: an optimized crystal structure of TbPr2ErAs4 at the PBE level of DFT.

Geometry as extended XYZ:
```
8
Lattice="7.2876 0.0000 0.0000 0.0000 4.2140 0.0000 -2.4327 0.0000 6.8766" Properties=species:S:1:pos:R:3 pbc="T T T"
Tb 0.0000 0.0000 0.0000
Pr 2.4275 0.0000 3.4383
Pr 3.6438 2.1070 0.0000
Er -1.2163 2.1070 3.4383
As -0.0801 0.0000 5.1183
As 1.1364 2.1070 1.7041
As 3.7186 2.1070 5.1725
As 4.9350 0.0000 1.7583
```

Computed properties:
ΔE_f = -1506 meV per atom

Entry 9:
Computed, not measured: an optimized crystal structure of Cr2Ga2Pb at the PBE level of DFT.

Geometry as extended XYZ:
```
10
Lattice="7.3793 0.0000 0.0000 0.0000 7.3793 0.0000 0.0000 0.0000 3.0652" Properties=species:S:1:pos:R:3 pbc="T T T"
Cr 0.7438 2.9459 0.0000
Cr 2.9459 6.6355 0.0000
Cr 4.4334 0.7438 0.0000
Cr 6.6355 4.4334 0.0000
Ga 1.3391 5.0287 1.5326
Ga 2.3506 1.3391 1.5326
Ga 5.0287 6.0402 1.5326
Ga 6.0402 2.3506 1.5326
Pb 0.0000 0.0000 0.0000
Pb 3.6896 3.6896 0.0000
```

Computed properties:
ΔE_f = 363 meV per atom

Entry 10:
Computed, not measured: an optimized crystal structure of TiNbPb2 at the PBE level of DFT.

Geometry as extended XYZ:
```
16
Lattice="6.9824 0.0000 0.0000 0.0000 6.9824 0.0000 0.0000 0.0000 6.9824" Properties=species:S:1:pos:R:3 pbc="T T T"
Ti 0.0000 0.0000 0.0000
Ti 0.0000 3.4912 3.4912
Ti 3.4912 0.0000 3.4912
Ti 3.4912 3.4912 0.0000
Nb 0.0000 0.0000 3.4912
Nb 0.0000 3.4912 0.0000
Nb 3.4912 0.0000 0.0000
Nb 3.4912 3.4912 3.4912
Pb 1.7456 1.7456 1.7456
Pb 1.7456 1.7456 5.2368
Pb 1.7456 5.2368 1.7456
Pb 1.7456 5.2368 5.2368
Pb 5.2368 1.7456 1.7456
Pb 5.2368 1.7456 5.2368
Pb 5.2368 5.2368 1.7456
Pb 5.2368 5.2368 5.2368
```

Computed properties:
offset from the most stable computed form = 0 kJ/mol of formula units
ΔE_f = 365 meV per atom

Entry 11:
Computed, not measured: an optimized crystal structure of MnTl3I4 at the PBE level of DFT.

Geometry as extended XYZ:
```
16
Lattice="13.3585 0.0000 0.0000 0.0000 7.0677 0.0000 0.0000 0.0000 7.0031" Properties=species:S:1:pos:R:3 pbc="T T T"
Mn 0.0000 1.3627 0.0000
Mn 6.6792 5.7050 3.5016
Tl 0.0000 6.2391 4.7006
Tl 3.2416 1.5915 4.3255
Tl 3.4377 5.4762 0.8240
Tl 6.6792 0.8286 1.1991
Tl 9.9208 5.4762 0.8240
Tl 10.1169 1.5915 4.3255
I 0.0000 2.7576 4.6462
I 0.0000 5.9446 1.1792
I 2.5855 2.0543 0.8184
I 4.0938 5.0134 4.3200
I 6.6792 1.1231 4.6807
I 6.6792 4.3101 1.1446
I 9.2647 5.0134 4.3200
I 10.7730 2.0543 0.8184
```

Computed properties:
E_form (uncorrected) = -0.390 eV per atom

Entry 12:
Computed, not measured: an optimized crystal structure of Ac2ScBiS6 at the PBE level of DFT.

Geometry as extended XYZ:
```
20
Lattice="6.8835 0.0000 0.0000 0.0000 7.5174 0.0000 -6.8768 0.0000 10.0251" Properties=species:S:1:pos:R:3 pbc="T T T"
Ac -0.2287 0.6901 2.5074
Ac -3.6671 3.0686 7.5200
Ac 3.6738 4.4488 2.5051
Ac 0.2354 6.8273 7.5177
Sc 3.4418 0.0000 0.0000
Sc 0.0034 3.7587 5.0126
Bi -3.4384 0.0000 5.0126
Bi 0.0000 3.7587 0.0000
S -5.5506 1.3514 9.4319
S -2.1122 2.4073 4.4193
S -4.6006 5.2546 9.3818
S -1.1622 6.0215 4.3692
S -2.5600 0.3075 7.6296
S 0.8784 3.4511 2.6171
S -0.8717 4.0662 7.4081
S 2.5667 7.2098 2.3955
S 1.1689 1.4959 5.6559
S 4.6073 2.2628 0.6433
S 2.1190 5.1101 5.6058
S 5.5574 6.1660 0.5932
```

Computed properties:
E_form (uncorrected) = -1.668 eV per atom

no.,total magnetic moment (μB/f.u.)
1,0.00
2,0.00
3,0.00
4,0.74
5,0.00
6,0.93
7,0.00
8,0.00
9,0.00
10,0.00
11,3.99
12,0.00